1.
# ZrTaCd2

A geometry-optimized ZrTaCd2 structure (GGA-PBE, Alexandria via LeMat-Bulk).

The space group is Cmm2 (No. 35) and the conventional cell measures 3.839, 4.534 and 9.554 Å, with angles of 90.00, 90.00 and 90.00 degrees. The asymmetric unit holds Zr at (0.000, 0.000, 0.000), Ta at (0.000, 0.500, 0.236), Cd at (0.000, 0.000, 0.481) and Cd at (0.000, 0.500, 0.737).

The density comes out at 9.9 Mg/m³. As for the excess energy over the best structure of this formula in the dataset: 0.0000 eV per atom. The value obtained for the energy of formation is 4 kJ/mol of atoms. As for the crystal system: orthorhombic.

2.
# ZrTaCd2

A geometry-optimized ZrTaCd2 structure (GGA-PBE, Alexandria via LeMat-Bulk).

The space group is P4/mmm (No. 123) and the conventional cell measures 4.281, 4.281 and 4.428 Å, with angles of 90.00, 90.00 and 90.00 degrees. The asymmetric unit holds Zr at (0.000, 0.000, 0.000), Ta at (0.500, 0.500, 0.000) and Cd at (0.000, 0.500, 0.500).

The density comes out at 10.2 Mg/m³. As for the excess energy over the best structure of this formula in the dataset: 0.1075 eV per atom. The value obtained for the energy of formation is 15 kJ/mol of atoms. As for the crystal system: tetragonal.

3.
# ZrTaCd2

A geometry-optimized ZrTaCd2 structure (GGA-PBE, Alexandria via LeMat-Bulk).

The space group is Pmm2 (No. 25) and the conventional cell measures 3.093, 4.204 and 6.398 Å, with angles of 90.00, 90.00 and 90.00 degrees. The asymmetric unit holds Zr at (0.000, 0.000, 0.000), Ta at (0.500, 0.500, 0.776), Cd at (0.000, 0.000, 0.517) and Cd at (0.500, 0.500, 0.273).

The density comes out at 9.9 Mg/m³. As for the excess energy over the best structure of this formula in the dataset: 0.1095 eV per atom. The value obtained for the energy of formation is 15 kJ/mol of atoms. As for the crystal system: orthorhombic.

4.
# ZrTaCd2

A geometry-optimized ZrTaCd2 structure (GGA-PBE, Alexandria via LeMat-Bulk).

The space group is R3m (No. 160, hexagonal axes) and the conventional cell measures 3.1285, 3.1285 and 30.2720 Å, with angles of 90.00, 90.00 and 120.00 degrees. The asymmetric unit holds Zr at (0.0000, 0.0000, 0.0000), Ta at (0.0000, 0.0000, 0.2552), Cd at (0.0000, 0.0000, 0.5066) and Cd at (0.0000, 0.0000, 0.7539).

The density comes out at 9.6 Mg/m³. As for the excess energy over the best structure of this formula in the dataset: 0.1257 eV per atom. The value obtained for the energy of formation is 16 kJ/mol of atoms. As for the crystal system: trigonal.